! Rb2AgBr5 (PBE, relaxed); values from VASP
! * excess energy over the best structure of this formula in the dataset: 69 kJ/mol of formula units
! * formation energy from raw total energies: -868.6 meV per atom
! * SG: Cmcm, No. 63
! * calculated total energy: -40.2 eV/cell
! * total moment: 0.0533 μB per atom
&SYSTEM
  ibrav = 0, nat = 16, ntyp = 3
/
ATOMIC_SPECIES
Rb 85.47 Rb.upf
Ag 107.87 Ag.upf
Br 79.90 Br.upf
CELL_PARAMETERS angstrom
6.645 0.000 0.000
-3.323 7.920 0.000
0.000 0.000 14.039
ATOMIC_POSITIONS angstrom
Rb 3.323 5.302 5.758
Rb 3.323 5.302 1.261
Rb 0.000 2.618 8.280
Rb 0.000 2.618 12.778
Ag 3.323 5.321 10.529
Ag 0.000 2.599 3.510
Br 3.323 7.104 12.337
Br 3.323 7.104 8.721
Br 0.000 4.435 5.303
Br 0.000 4.435 1.716
Br 3.323 2.813 3.510
Br 0.000 5.107 10.529
Br 3.323 3.485 8.736
Br 3.323 3.485 12.322
Br 0.000 0.816 1.702
Br 0.000 0.816 5.318